# NaHg2I

A relaxed NaHg2I crystal (PBE-GGA, Alexandria).

Formation energy (no corrections): -0.579 eV per atom
Crystal system: monoclinic
DOS at the Fermi energy: 0.81 states/eV per cell
DFT total energy: -11.58 eV per cell

a = 4.4373 Å, b = 4.5461 Å, c = 13.6950 Å
α = 90.00°, β = 96.65°, γ = 90.00°
With the nearest neighbours (Å) after each atom.
Space group P2_1/m (No. 11)
One atom of each set of equivalent atoms:
Na  0.2093  0.2500  0.3898 (multiplicity 2)  5 I 3.18-3.21
Hg  0.0335  0.7500  0.0890 (multiplicity 2)  6 Hg 3.23-3.32
Hg  0.4501  0.7500  0.8672 (multiplicity 2)  4 Hg 3.23
I  0.2955  0.2500  0.6255 (multiplicity 2)  5 Na 3.18-3.21